No. 1
First-principles (GGA-PBE) data for a geometry-optimized NaGaHgCl4 structure, as listed in Alexandria via LeMat-Bulk.

Electronic total energy   -0.1055 Ha/atom
DOS at the Fermi energy   0.000 states/eV per cell
Crystal system   monoclinic
ΔE_f (raw)   -1.151 eV per atom

Unit cell a=15.2974 b=7.5513 c=8.2722 alpha=90.00 beta=101.17 gamma=90.00
Space group C2/m (No. 12)
One atom of each set of equivalent atoms:
Na  0.1945  0.0000  0.3396
Ga  0.1334  0.0000  0.7614
Hg  0.0642  0.5000  0.1942
Cl  0.0068  0.0000  0.2173
Cl  0.1603  0.2310  0.6106
Cl  0.2217  0.0000  0.0033

No. 2
First-principles (GGA-PBE) data for a geometry-optimized GaHgP2Cl structure, as listed in Alexandria via LeMat-Bulk.

Electronic total energy   -0.0985 Ha/atom
DOS at the Fermi energy   3.121 states/eV per cell
Relative energy among the computed polymorphs   0.00 eV per formula unit
Crystal system   tetragonal
ΔE_f (raw)   0.520 eV per atom

Unit cell a=4.8396 b=4.8396 c=4.8985 alpha=90.00 beta=90.00 gamma=90.00
Space group P4/mmm (No. 123)
One atom of each set of equivalent atoms:
Ga  0.0000  0.0000  0.0000
Hg  0.5000  0.5000  0.5000
P  0.0000  0.5000  0.0000
Cl  0.0000  0.0000  0.5000

No. 3
First-principles (GGA-PBE) data for a geometry-optimized PaGaHgCl6 structure, as listed in Alexandria via LeMat-Bulk.

Electronic total energy   -0.1494 Ha/atom
Crystal system   trigonal
ΔE_f (raw)   -1.408 eV per atom

Unit cell a=7.4924 b=7.4924 c=16.9596 alpha=90.00 beta=90.00 gamma=120.00
Space group P-31c (No. 163)
One atom of each set of equivalent atoms:
Pa  0.3333  0.6667  0.2500
Ga  0.3333  0.6667  0.7500
Hg  0.0000  0.0000  0.0000
Cl  0.0434  0.3937  0.1640

No. 4
First-principles (GGA-PBE) data for a geometry-optimized GaHg2PtCl structure, as listed in Alexandria via LeMat-Bulk.

Electronic total energy   -0.0549 Ha/atom
DOS at the Fermi energy   3.356 states/eV per cell
Crystal system   tetragonal
ΔE_f (raw)   0.809 eV per atom

Unit cell a=5.3161 b=5.3161 c=5.1498 alpha=90.00 beta=90.00 gamma=90.00
Space group P4/mmm (No. 123)
One atom of each set of equivalent atoms:
Ga  0.0000  0.0000  0.0000
Hg  0.0000  0.5000  0.5000
Pt  0.5000  0.5000  0.0000
Cl  0.0000  0.0000  0.5000

No. 5
First-principles (GGA-PBE) data for a geometry-optimized RbGaHg2Cl4 structure, as listed in Alexandria via LeMat-Bulk.

Electronic total energy   -0.0940 Ha/atom
DOS at the Fermi energy   0.000 states/eV per cell
Crystal system   orthorhombic
ΔE_f (raw)   -1.061 eV per atom

Unit cell a=8.2574 b=11.6144 c=27.7654 alpha=90.00 beta=90.00 gamma=90.00
Space group Fddd (No. 70, origin choice 2)
One atom of each set of equivalent atoms:
Rb  0.1250  0.1250  0.1250
Ga  0.1250  0.1250  0.6250
Hg  0.1250  0.1250  0.2715
Cl  0.0325  0.2669  0.8296

No. 6
First-principles (GGA-PBE) data for a geometry-optimized Rb2Ga2HgCl6 structure, as listed in Alexandria via LeMat-Bulk.

Electronic total energy   -0.1130 Ha/atom
DOS at the Fermi energy   0.000 states/eV per cell
Crystal system   triclinic
ΔE_f (raw)   -1.315 eV per atom

Unit cell a=7.6428 b=8.4473 c=8.6263 alpha=86.64 beta=63.95 gamma=66.02
Space group P-1 (No. 2)
One atom of each set of equivalent atoms:
Rb  0.0918  0.2272  0.2818
Ga  0.3502  0.1228  0.6086
Hg  0.5000  0.5000  0.0000
Cl  0.0261  0.1178  0.6967
Cl  0.3005  0.3813  0.5025
Cl  0.3908  0.1474  0.8487

No. 7
First-principles (GGA-PBE) data for a geometry-optimized GaHgS2Cl structure, as listed in Alexandria via LeMat-Bulk.

Electronic total energy   -0.0970 Ha/atom
DOS at the Fermi energy   2.733 states/eV per cell
Relative energy among the computed polymorphs   0.00 eV per formula unit
Crystal system   tetragonal
ΔE_f (raw)   0.047 eV per atom

Unit cell a=4.8328 b=4.8328 c=4.7306 alpha=90.00 beta=90.00 gamma=90.00
Space group P4/mmm (No. 123)
One atom of each set of equivalent atoms:
Ga  0.0000  0.0000  0.0000
Hg  0.5000  0.5000  0.5000
S  0.0000  0.5000  0.0000
Cl  0.0000  0.0000  0.5000

No. 8
First-principles (GGA-PBE) data for a geometry-optimized GaHgSCl2 structure, as listed in Alexandria via LeMat-Bulk.

Electronic total energy   -0.0924 Ha/atom
DOS at the Fermi energy   2.299 states/eV per cell
Relative energy among the computed polymorphs   0.00 eV per formula unit
Crystal system   tetragonal
ΔE_f (raw)   -0.284 eV per atom

Unit cell a=4.7851 b=4.7851 c=5.0043 alpha=90.00 beta=90.00 gamma=90.00
Space group P4/mmm (No. 123)
One atom of each set of equivalent atoms:
Ga  0.0000  0.0000  0.0000
Hg  0.5000  0.5000  0.5000
S  0.0000  0.0000  0.5000
Cl  0.0000  0.5000  0.0000

No. 9
First-principles (GGA-PBE) data for a geometry-optimized GaHg2SbCl4 structure, as listed in Alexandria via LeMat-Bulk.

Electronic total energy   -0.0973 Ha/atom
Crystal system   orthorhombic
ΔE_f (raw)   -0.755 eV per atom

Unit cell a=12.3974 b=9.0479 c=18.2461 alpha=90.00 beta=90.00 gamma=90.00
Space group Pbcn (No. 60)
One atom of each set of equivalent atoms:
Ga  0.1070  0.0803  0.1223
Hg  0.0000  0.4728  0.7500
Hg  0.0000  0.5000  0.0000
Hg  0.2401  0.1920  0.8760
Sb  0.1230  0.4515  0.8756
Cl  0.0334  0.1649  0.4403
Cl  0.0695  0.1417  0.6611
Cl  0.1430  0.2323  0.2140
Cl  0.2486  0.0814  0.0488

No. 10
First-principles (GGA-PBE) data for a geometry-optimized GaHg2SbCl6 structure, as listed in Alexandria via LeMat-Bulk.

Electronic total energy   -0.0890 Ha/atom
DOS at the Fermi energy   17.015 states/eV per cell
Crystal system   monoclinic
ΔE_f (raw)   -0.539 eV per atom

Unit cell a=10.2933 b=10.3032 c=7.2852 alpha=90.00 beta=134.92 gamma=90.00
Space group C2/m (No. 12)
One atom of each set of equivalent atoms:
Ga  0.0000  0.0000  0.0000
Hg  0.0000  0.2502  0.5000
Sb  0.0000  0.5000  0.0000
Cl  0.0000  0.2413  0.0000
Cl  0.2404  0.0000  0.9987
Cl  0.2410  0.0000  0.4836

No. 11
First-principles (GGA-PBE) data for a geometry-optimized GaHgSeCl structure, as listed in Alexandria via LeMat-Bulk.

Electronic total energy   -0.1022 Ha/atom
Crystal system   monoclinic
ΔE_f (raw)   -0.616 eV per atom

Unit cell a=6.6431 b=3.8359 c=10.5889 alpha=90.00 beta=101.39 gamma=90.00
Space group Cm (No. 8)
One atom of each set of equivalent atoms:
Ga  0.0000  0.0000  0.0000
Hg  0.3069  0.5000  0.4412
Se  0.3675  0.0000  0.1081
Cl  0.4359  0.5000  0.7940

No. 12
First-principles (GGA-PBE) data for a geometry-optimized GaSnHgCl6 structure, as listed in Alexandria via LeMat-Bulk.

Electronic total energy   -0.1049 Ha/atom
DOS at the Fermi energy   4.430 states/eV per cell
Crystal system   trigonal
ΔE_f (raw)   -0.810 eV per atom

Unit cell a=6.5348 b=6.5348 c=9.3341 alpha=90.00 beta=90.00 gamma=120.00
Space group P312 (No. 149)
One atom of each set of equivalent atoms:
Ga  0.0000  0.0000  0.0000
Sn  0.3333  0.6667  0.0000
Hg  0.6667  0.3333  0.5000
Cl  0.0131  0.3032  0.8472

No. 13
First-principles (GGA-PBE) data for a geometry-optimized Ga2SnHgCl8 structure, as listed in Alexandria via LeMat-Bulk.

Electronic total energy   -0.1132 Ha/atom
DOS at the Fermi energy   0.000 states/eV per cell
Crystal system   monoclinic
ΔE_f (raw)   -0.986 eV per atom

Unit cell a=12.6292 b=7.2855 c=10.2184 alpha=90.00 beta=113.55 gamma=90.00
Space group C2/m (No. 12)
One atom of each set of equivalent atoms:
Ga  0.2090  0.0000  0.1308
Sn  0.0000  0.5000  0.0000
Hg  0.0000  0.0000  0.5000
Cl  0.0986  0.5000  0.7829
Cl  0.1348  0.0000  0.9011
Cl  0.1544  0.2470  0.2170

No. 14
First-principles (GGA-PBE) data for a geometry-optimized Ga2TcHgCl structure, as listed in Alexandria via LeMat-Bulk.

Electronic total energy   -0.1084 Ha/atom
DOS at the Fermi energy   2.342 states/eV per cell
Crystal system   tetragonal
ΔE_f (raw)   0.764 eV per atom

Unit cell a=5.3109 b=5.3109 c=4.5471 alpha=90.00 beta=90.00 gamma=90.00
Space group P4/mmm (No. 123)
One atom of each set of equivalent atoms:
Ga  0.0000  0.5000  0.0000
Tc  0.0000  0.0000  0.5000
Hg  0.5000  0.5000  0.5000
Cl  0.0000  0.0000  0.0000

No. 15
First-principles (GGA-PBE) data for a geometry-optimized TiGaHgCl6 structure, as listed in Alexandria via LeMat-Bulk.

Electronic total energy   -0.1297 Ha/atom
DOS at the Fermi energy   2.541 states/eV per cell
Crystal system   trigonal
ΔE_f (raw)   -1.050 eV per atom

Unit cell a=6.8820 b=6.8820 c=6.2477 alpha=90.00 beta=90.00 gamma=120.00
Space group P312 (No. 149)
One atom of each set of equivalent atoms:
Ti  0.0000  0.0000  0.0000
Ga  0.3333  0.6667  0.5000
Hg  0.6667  0.3333  0.0000
Cl  0.2895  0.0090  0.2214

No. 16
First-principles (GGA-PBE) data for a geometry-optimized TlGaHgCl4 structure, as listed in Alexandria via LeMat-Bulk.

Electronic total energy   -0.1043 Ha/atom
DOS at the Fermi energy   0.000 states/eV per cell
Crystal system   monoclinic
ΔE_f (raw)   -0.970 eV per atom

Unit cell a=14.8908 b=9.5751 c=8.3736 alpha=90.00 beta=114.68 gamma=90.00
Space group C2/m (No. 12)
One atom of each set of equivalent atoms:
Tl  0.2034  0.0000  0.2943
Ga  0.1838  0.0000  0.7841
Hg  0.0627  0.5000  0.3653
Cl  0.0581  0.0000  0.8582
Cl  0.1771  0.1840  0.6197
Cl  0.1802  0.5000  0.9718

No. 17
First-principles (GGA-PBE) data for a geometry-optimized TlGa2Hg2Cl6 structure, as listed in Alexandria via LeMat-Bulk.

Electronic total energy   -0.0944 Ha/atom
DOS at the Fermi energy   39.800 states/eV per cell
Crystal system   trigonal
ΔE_f (raw)   -0.740 eV per atom

Unit cell a=7.7522 b=7.7522 c=24.3582 alpha=90.00 beta=90.00 gamma=120.00
Space group R-3m (No. 166, hexagonal axes)
One atom of each set of equivalent atoms:
Tl  0.0000  0.0000  0.0000
Ga  0.0000  0.0000  0.4476
Hg  0.0000  0.0000  0.2180
Cl  0.0184  0.5092  0.2471

No. 18
First-principles (GGA-PBE) data for a geometry-optimized TlGa2HgCl8 structure, as listed in Alexandria via LeMat-Bulk.

Electronic total energy   -0.1077 Ha/atom
DOS at the Fermi energy   9.617 states/eV per cell
Crystal system   trigonal
ΔE_f (raw)   -0.973 eV per atom

Unit cell a=6.6943 b=6.6943 c=28.4609 alpha=90.00 beta=90.00 gamma=120.00
Space group R-3 (No. 148, hexagonal axes)
One atom of each set of equivalent atoms:
Tl  0.0000  0.0000  0.0000
Ga  0.0000  0.0000  0.2553
Hg  0.0000  0.0000  0.5000
Cl  0.0000  0.0000  0.3324
Cl  0.0015  0.6245  0.4362

No. 19
First-principles (GGA-PBE) data for a geometry-optimized YGaHg2Cl structure, as listed in Alexandria via LeMat-Bulk.

Electronic total energy   -0.0792 Ha/atom
DOS at the Fermi energy   4.670 states/eV per cell
Crystal system   tetragonal
ΔE_f (raw)   0.233 eV per atom

Unit cell a=5.6214 b=5.6214 c=4.8315 alpha=90.00 beta=90.00 gamma=90.00
Space group P4/mmm (No. 123)
One atom of each set of equivalent atoms:
Y  0.0000  0.0000  0.0000
Ga  0.5000  0.5000  0.0000
Hg  0.0000  0.5000  0.5000
Cl  0.5000  0.5000  0.5000

No. 20
First-principles (GGA-PBE) data for a geometry-optimized HoGaCl6 structure, as listed in Alexandria via LeMat-Bulk.

Electronic total energy   -0.1442 Ha/atom
DOS at the Fermi energy   0.000 states/eV per cell
Crystal system   monoclinic
ΔE_f (raw)   -1.590 eV per atom

Unit cell a=6.2795 b=12.7830 c=6.2729 alpha=90.00 beta=107.04 gamma=90.00
Space group C2/m (No. 12)
One atom of each set of equivalent atoms:
Ho  0.0000  0.0000  0.0000
Ga  0.0000  0.5000  0.5000
Cl  0.2245  0.3672  0.7254
Cl  0.2427  0.5000  0.2583